Entry 1:
A plane-wave DFT calculation with GGA-PBE was carried out for a relaxed structure of LaPmSbSe.

Values from the calculation:
**Theoretical density**: 6.550 Mg/m³
**N(E_F)**: 0.384 states/eV per atom
**ΔE_f (raw)**: -1.542 eV per atom
**E_tot**: -5.86 eV/atom

Lattice parameters (Å, degrees): 4.446 4.446 6.215 89.99 90.00 90.00
Sites, in units of the cell vectors:
La: 0.500 0.391 0.093
Pm: 0.000 0.892 0.592
Sb: 0.000 0.891 0.092
Se: 0.500 0.392 0.593

Entry 2:
A plane-wave DFT calculation with GGA-PBE was carried out for a relaxed structure of La3Pm2Sm5.

Values from the calculation:
**Energy of formation from the pure elements**: 167 meV/atom
**Theoretical density**: 6.895 Mg/m³
**N(E_F)**: 1.622 states/eV per atom
**E_tot**: -4.62 eV/atom

Lattice parameters (Å, degrees): 9.255 9.244 11.355 121.72 121.74 73.05
Sites, in units of the cell vectors:
La: 0.225 0.975 0.951
La: 0.775 0.025 0.049
La: 0.727 0.474 0.250
La: 0.273 0.526 0.750
La: 0.022 0.776 0.250
La: 0.978 0.224 0.750
Pm: 0.764 0.011 0.742
Pm: 0.236 0.989 0.258
Pm: 0.478 0.731 0.742
Pm: 0.522 0.269 0.258
Sm: 0.276 0.526 0.052
Sm: 0.724 0.474 0.948
Sm: 0.027 0.777 0.553
Sm: 0.531 0.281 0.563
Sm: 0.973 0.223 0.447
Sm: 0.469 0.719 0.437
Sm: 0.864 0.613 0.736
Sm: 0.136 0.387 0.264
Sm: 0.372 0.123 0.736
Sm: 0.628 0.877 0.264

What did the second record say?
A plane-wave DFT calculation with GGA-PBE was carried out for a relaxed structure of La3Pm2Sm5.

Values from the calculation:
**Energy of formation from the pure elements**: 167 meV/atom
**Theoretical density**: 6.895 Mg/m³
**N(E_F)**: 1.622 states/eV per atom
**E_tot**: -4.62 eV/atom

Lattice parameters (Å, degrees): 9.255 9.244 11.355 121.72 121.74 73.05
Sites, in units of the cell vectors:
La: 0.225 0.975 0.951
La: 0.775 0.025 0.049
La: 0.727 0.474 0.250
La: 0.273 0.526 0.750
La: 0.022 0.776 0.250
La: 0.978 0.224 0.750
Pm: 0.764 0.011 0.742
Pm: 0.236 0.989 0.258
Pm: 0.478 0.731 0.742
Pm: 0.522 0.269 0.258
Sm: 0.276 0.526 0.052
Sm: 0.724 0.474 0.948
Sm: 0.027 0.777 0.553
Sm: 0.531 0.281 0.563
Sm: 0.973 0.223 0.447
Sm: 0.469 0.719 0.437
Sm: 0.864 0.613 0.736
Sm: 0.136 0.387 0.264
Sm: 0.372 0.123 0.736
Sm: 0.628 0.877 0.264